A plane-wave DFT calculation with GGA-PBE was carried out for a relaxed structure of BTeAu.

Results
**Final energy**: -3.378 eV/atom
**Energy above the most stable polymorph in this dataset**: 0.0000 eV per atom

Geometry as CIF:
```
data_BTeAu
_space_group_name_H-M_alt 'P 1'
_space_group_IT_number 1
_cell_length_a 4.294
_cell_length_b 4.294
_cell_length_c 4.294
_cell_angle_alpha 60.00
_cell_angle_beta 60.00
_cell_angle_gamma 60.00
loop_
_space_group_symop_operation_xyz
'x,y,z'
loop_
_atom_site_label
_atom_site_type_symbol
_atom_site_fract_x
_atom_site_fract_y
_atom_site_fract_z
_atom_site_occupancy
Au1 Au 0.250 0.250 0.250 1
B1 B 0.000 0.000 0.000 1
Te1 Te 0.750 0.750 0.750 1
```